No. 1
Below is an optimized crystal structure of AlZn2Ni2, with properties calculated at the GGA-PBE level.

Lattice parameters (Å, degrees): 7.060 7.060 7.060 145.98 135.38 57.28
Fractional coordinates of all 10 atoms:
Al (0.413, 0.163, 0.250)
Al (0.587, 0.837, 0.750)
Zn (0.099, 0.849, 0.250)
Zn (0.251, 0.501, 0.750)
Zn (0.749, 0.499, 0.250)
Zn (0.901, 0.151, 0.750)
Ni (0.170, 0.671, 0.499)
Ni (0.329, 0.329, 0.999)
Ni (0.671, 0.671, 0.001)
Ni (0.830, 0.329, 0.501)

Computed properties:
Formation enthalpy at 0 K: -0.3327 eV/atom
DOS at the Fermi energy: 4.0 states/eV/cell
Spin magnetization: 0.00 Bohr magnetons per cell
Space group: No. 74

=====

No. 2
Below is an optimized crystal structure of Al4ZnNi15, with properties calculated at the GGA-PBE level.

Lattice parameters (Å, degrees): 3.564 3.564 17.871 90.00 90.00 90.00
Fractional coordinates of all 20 atoms:
Al (0.000, 0.000, 0.100)
Al (0.000, 0.000, 0.300)
Al (0.000, 0.000, 0.700)
Al (0.000, 0.000, 0.900)
Zn (0.000, 0.000, 0.500)
Ni (0.000, 0.500, 0.000)
Ni (0.000, 0.500, 0.200)
Ni (0.000, 0.500, 0.399)
Ni (0.000, 0.500, 0.601)
Ni (0.000, 0.500, 0.800)
Ni (0.500, 0.000, 0.000)
Ni (0.500, 0.000, 0.200)
Ni (0.500, 0.000, 0.399)
Ni (0.500, 0.000, 0.601)
Ni (0.500, 0.000, 0.800)
Ni (0.500, 0.500, 0.100)
Ni (0.500, 0.500, 0.299)
Ni (0.500, 0.500, 0.500)
Ni (0.500, 0.500, 0.701)
Ni (0.500, 0.500, 0.900)

Computed properties:
Formation enthalpy at 0 K: -0.3640 eV/atom
DOS at the Fermi energy: 19.4 states/eV/cell
Spin magnetization: 4.53 Bohr magnetons per cell
Space group: No. 123

=====

No. 3
Below is an optimized crystal structure of Al4ZnNi, with properties calculated at the GGA-PBE level.

Lattice parameters (Å, degrees): 5.161 5.161 5.161 60.00 60.00 60.00
Fractional coordinates of all 6 atoms:
Al (0.125, 0.125, 0.125)
Al (0.125, 0.125, 0.625)
Al (0.125, 0.625, 0.125)
Al (0.625, 0.125, 0.125)
Zn (0.750, 0.750, 0.750)
Ni (0.500, 0.500, 0.500)

Computed properties:
Formation enthalpy at 0 K: 0.2459 eV/atom
Energy relative to the lowest polymorph listed for this composition: 0.480 eV per atom
DOS at the Fermi energy: 2.4 states/eV/cell
Spin magnetization: 0.00 Bohr magnetons per cell
Space group: No. 216

=====

No. 4
Below is an optimized crystal structure of AlZnNi2, with properties calculated at the GGA-PBE level.

Lattice parameters (Å, degrees): 5.432 5.432 5.432 152.36 131.84 56.43
Fractional coordinates of all 4 atoms:
Al (0.000, 0.000, 0.000)
Zn (0.500, 0.500, 0.000)
Ni (0.247, 0.247, 0.000)
Ni (0.753, 0.753, 0.000)

Computed properties:
Formation enthalpy at 0 K: 0.2442 eV/atom
DOS at the Fermi energy: 2.4 states/eV/cell
Spin magnetization: 0.66 Bohr magnetons per cell
Space group: No. 71

=====

No. 5
Below is an optimized crystal structure of AlZnNi2, with properties calculated at the GGA-PBE level.

Lattice parameters (Å, degrees): 8.384 8.384 8.384 18.35 18.35 18.35
Fractional coordinates of all 4 atoms:
Al (0.000, 0.000, 0.000)
Zn (0.237, 0.237, 0.237)
Ni (0.490, 0.490, 0.490)
Ni (0.743, 0.743, 0.743)

Computed properties:
Formation enthalpy at 0 K: -0.0797 eV/atom
DOS at the Fermi energy: 3.1 states/eV/cell
Spin magnetization: 0.00 Bohr magnetons per cell
Space group: No. 160

=====

No. 6
Below is an optimized crystal structure of AlZn6Ni12, with properties calculated at the GGA-PBE level.

Lattice parameters (Å, degrees): 6.149 6.149 6.149 91.85 91.85 91.85
Fractional coordinates of all 19 atoms:
Al (0.000, 0.000, 0.000)
Zn (0.122, 0.731, 0.288)
Zn (0.269, 0.712, 0.878)
Zn (0.288, 0.122, 0.731)
Zn (0.712, 0.878, 0.269)
Zn (0.731, 0.288, 0.122)
Zn (0.878, 0.269, 0.712)
Ni (0.043, 0.140, 0.367)
Ni (0.140, 0.367, 0.043)
Ni (0.209, 0.462, 0.546)
Ni (0.367, 0.043, 0.140)
Ni (0.454, 0.791, 0.538)
Ni (0.462, 0.546, 0.209)
Ni (0.538, 0.454, 0.791)
Ni (0.546, 0.209, 0.462)
Ni (0.633, 0.957, 0.860)
Ni (0.791, 0.538, 0.454)
Ni (0.860, 0.633, 0.957)
Ni (0.957, 0.860, 0.633)

Computed properties:
Formation enthalpy at 0 K: -0.0485 eV/atom
DOS at the Fermi energy: 17.0 states/eV/cell
Spin magnetization: 0.00 Bohr magnetons per cell
Space group: No. 148